Material: TlPb4Au4
Method: DFT, GGA-PBE
State: optimized geometry

Summary:
ΔH_f (0 K): -0.0379 eV per atom
Space-group type: No. 86
Size of the total moment: 0.00 μB/f.u.

POSCAR file:
```
TlPb4Au4
1.0
-5.068 -1.577 -2.787
4.938 -3.605 -6.939
0.150 -8.161 4.347
Tl Au Pb
2 8 8
direct
0.500 0.500 0.500
0.000 0.000 0.000
0.381 0.375 0.217
0.619 0.783 0.375
0.881 0.283 0.875
0.119 0.875 0.717
0.619 0.217 0.625
0.381 0.625 0.783
0.881 0.717 0.125
0.119 0.125 0.283
0.616 0.902 0.669
0.884 0.598 0.831
0.384 0.669 0.098
0.616 0.098 0.331
0.116 0.831 0.402
0.116 0.169 0.598
0.384 0.331 0.902
0.884 0.402 0.169
```


Material: CuSn2GeOs
Method: DFT, GGA-PBE
State: optimized geometry

Summary:
ΔH_f (0 K): 1.0995 eV per atom
Space-group type: No. 123
Size of the total moment: 1.37 μB/f.u.

POSCAR file:
```
CuSn2GeOs
1.0
-3.708 2.306 2.186
-2.527 -4.031 -0.035
1.835 -1.189 4.366
Cu Os Sn Ge
1 1 2 1
direct
0.000 0.000 0.000
0.000 0.500 0.000
0.500 0.000 0.000
0.000 0.000 0.500
0.500 0.500 0.500
```


Material: CeEr2Cd
Method: DFT, GGA-PBE
State: optimized geometry

Summary:
ΔH_f (0 K): 0.0726 eV per atom
Space-group type: No. 225
Size of the total moment: 0.01 μB/f.u.

POSCAR file:
```
CeEr2Cd
1.0
5.347 0.000 0.000
2.674 4.631 0.000
2.674 1.544 4.366
Cd Er Ce
1 2 1
direct
0.000 0.000 0.000
0.750 0.750 0.750
0.250 0.250 0.250
0.500 0.500 0.500
```


Material: Er2Al8Os
Method: DFT, GGA-PBE
State: optimized geometry

Summary:
ΔH_f (0 K): -0.4455 eV per atom
Space-group type: No. 123
Size of the total moment: 0.00 μB/f.u.

POSCAR file:
```
Er2Al8Os
1.0
4.261 0.000 0.000
0.000 4.261 0.000
0.000 0.000 11.227
Os Al Er
1 8 2
direct
0.000 0.000 0.000
0.500 0.500 0.690
0.500 0.000 0.120
0.000 0.500 0.880
0.500 0.000 0.880
0.500 0.500 0.310
0.500 0.000 0.500
0.000 0.500 0.120
0.000 0.500 0.500
0.000 0.000 0.309
0.000 0.000 0.691
```


Material: LiMnCr2
Method: DFT, GGA-PBE
State: optimized geometry

Summary:
ΔH_f (0 K): 0.3230 eV per atom
Space-group type: No. 10
Size of the total moment: 0.17 μB/f.u.

POSCAR file:
```
LiMnCr2
1.0
-0.008 4.040 -0.584
-0.819 0.313 2.180
4.148 0.352 2.372
Mn Cr Li
1 2 1
direct
0.500 0.750 0.750
0.000 0.485 0.507
0.000 0.015 0.993
0.500 0.250 0.250
```


Material: SrTl2Cr
Method: DFT, GGA-PBE
State: optimized geometry

Summary:
ΔH_f (0 K): 0.2580 eV per atom
Space-group type: No. 99
Size of the total moment: 4.79 μB/f.u.

POSCAR file:
```
SrTl2Cr
1.0
-0.352 0.294 -3.934
-3.944 -0.091 0.346
-0.122 7.442 0.567
Sr Tl Cr
1 2 1
direct
0.500 0.500 0.746
0.000 0.000 0.030
0.500 0.500 0.281
0.000 0.000 0.443
```


Material: In2Ni2H
Method: DFT, GGA-PBE
State: optimized geometry

Summary:
Uncorrected energy: -3.87 eV per atom
Space-group type: No. 127
Size of the total moment: 0.00 μB/f.u.

POSCAR file:
```
In2Ni2H
1.0
5.805 0.000 0.000
0.000 5.805 0.000
0.000 0.000 4.223
H In Ni
2 4 4
direct
0.500 0.500 0.000
0.000 0.000 0.000
0.331 0.169 0.500
0.831 0.331 0.500
0.169 0.669 0.500
0.669 0.831 0.500
0.656 0.156 0.000
0.344 0.844 0.000
0.156 0.344 0.000
0.844 0.656 0.000
```


Material: Mg5Tl2Cd2Pb
Method: DFT, GGA-PBE
State: optimized geometry

Summary:
ΔH_f (0 K): 0.0166 eV per atom
Space-group type: No. 127
Size of the total moment: 0.00 μB/f.u.

POSCAR file:
```
Mg5Tl2Cd2Pb
1.0
-3.491 2.814 1.377
2.971 -1.171 9.924
6.298 8.257 -0.911
Mg Cd Pb Tl
10 4 2 4
direct
0.500 0.085 0.801
0.500 0.699 0.415
0.500 0.500 0.000
0.500 0.915 0.199
0.500 0.301 0.585
0.500 0.199 0.085
0.500 0.801 0.915
0.500 0.415 0.301
0.500 0.585 0.699
0.500 0.000 0.500
0.000 0.378 0.122
0.000 0.622 0.878
0.000 0.122 0.622
0.000 0.878 0.378
0.000 0.000 0.000
0.000 0.500 0.500
0.000 0.674 0.174
0.000 0.826 0.674
0.000 0.174 0.326
0.000 0.326 0.826
```


Material: CaCuP2Cl
Method: DFT, GGA-PBE
State: optimized geometry

Summary:
Uncorrected energy: -4.02 eV per atom
Space-group type: No. 123
Size of the total moment: 0.00 μB/f.u.

POSCAR file:
```
CaCuP2Cl
1.0
4.325 0.000 0.000
0.000 4.325 0.000
0.000 0.000 5.907
Cu Ca P Cl
1 1 2 1
direct
0.000 0.000 0.000
0.500 0.500 0.500
0.000 0.500 0.000
0.500 0.000 0.000
0.000 0.000 0.500
```


Material: Ti3In2S8
Method: DFT, GGA-PBE
State: optimized geometry

Summary:
Uncorrected energy: -5.76 eV per atom
Space-group type: No. 12
Size of the total moment: 0.69 μB/f.u.

POSCAR file:
```
Ti3In2S8
1.0
6.048 0.060 1.767
-1.035 6.403 3.325
0.089 0.295 7.449
S Ti In
8 3 2
direct
0.265 0.335 0.774
0.704 0.625 0.751
0.255 0.891 0.218
0.735 0.665 0.226
0.296 0.375 0.249
0.735 0.109 0.226
0.265 0.891 0.774
0.745 0.109 0.782
0.000 0.000 0.000
0.500 0.733 0.000
0.500 0.267 0.000
0.127 0.681 0.638
0.873 0.319 0.362
```


Material: CrHSCl2
Method: DFT, GGA-PBE
State: optimized geometry

Summary:
Uncorrected energy: -3.59 eV per atom
Space-group type: No. 123
Size of the total moment: 5.02 μB/f.u.

POSCAR file:
```
CrHSCl2
1.0
-2.641 -0.833 4.425
3.863 0.026 2.310
-0.453 5.153 0.700
Cl S H Cr
2 1 1 1
direct
0.500 0.000 0.000
0.000 0.000 0.500
0.000 0.000 0.000
0.500 0.500 0.500
0.000 0.500 0.000
```


Material: CeY3Co
Method: DFT, GGA-PBE
State: optimized geometry

Summary:
ΔH_f (0 K): 0.0590 eV per atom
Space-group type: No. 221
Size of the total moment: 1.72 μB/f.u.

POSCAR file:
```
CeY3Co
1.0
-1.724 4.994 -0.527
-3.028 -1.479 -4.103
-4.006 -1.032 3.328
Y Co Ce
3 1 1
direct
0.000 0.500 0.000
0.000 0.000 0.500
0.500 0.000 0.000
0.000 0.000 0.000
0.500 0.500 0.500
```


We obtain D(E_F) values of 6.3 3.9 8.0 4.4 3.2 2.3 3.7 6.2 4.3 5.2 2.2 12.4 states/eV per cell for the records listed above, in that order.